## ZnRe2Ir (PBE)

Data for crystalline ZnRe2Ir at its relaxed geometry.

Lattice parameters (Å, degrees): 2.722 2.722 9.013 90.00 90.00 116.50
Fractional positions:
Zn 0.000 0.000 0.503
Re 0.500 0.500 0.248
Re 0.000 0.000 0.002
Ir 0.500 0.500 0.746

Computed properties:
Formation enthalpy at 0 K (eV per atom): 0.1951
Final energy (eV/atom): -8.563
Theoretical density (g/cm³): 17.5